Record 1
Entry from the Alexandria database: an optimized crystal structure of NiAgTe2 (PBE). Values from VASP.

Geometry as Quantum ESPRESSO input:
```
&SYSTEM
  ibrav = 0, nat = 4, ntyp = 3
/
ATOMIC_SPECIES
Ni 58.69 Ni.upf
Ag 107.87 Ag.upf
Te 127.60 Te.upf
CELL_PARAMETERS angstrom
1.887 -2.942 0.000
1.887 2.942 0.000
0.000 0.000 8.190
ATOMIC_POSITIONS crystal
Ni 0.000 0.000 0.000
Ag 0.000 0.000 0.500
Te 0.500 0.500 0.212
Te 0.500 0.500 0.788
```


Record 2
Entry from the Alexandria database: an optimized crystal structure of NiAg2Te (PBE). Values from VASP.

Geometry as Quantum ESPRESSO input:
```
&SYSTEM
  ibrav = 0, nat = 4, ntyp = 3
/
ATOMIC_SPECIES
Ni 58.69 Ni.upf
Ag 107.87 Ag.upf
Te 127.60 Te.upf
CELL_PARAMETERS angstrom
3.739 0.000 0.000
0.000 3.739 0.000
0.000 0.000 5.423
ATOMIC_POSITIONS crystal
Ni 0.000 0.000 0.000
Ag 0.500 0.500 0.239
Ag 0.500 0.500 0.761
Te 0.000 0.000 0.500
```


Record 3
Entry from the Alexandria database: an optimized crystal structure of NiAgTe2 (PBE). Values from VASP.

Geometry as Quantum ESPRESSO input:
```
&SYSTEM
  ibrav = 0, nat = 4, ntyp = 3
/
ATOMIC_SPECIES
Ni 58.69 Ni.upf
Ag 107.87 Ag.upf
Te 127.60 Te.upf
CELL_PARAMETERS angstrom
6.290 -1.934 0.000
6.290 1.934 0.000
-1.586 0.000 4.187
ATOMIC_POSITIONS crystal
Ni 0.000 0.000 0.000
Ag 0.775 0.775 0.952
Te 0.394 0.394 0.669
Te 0.622 0.622 0.264
```


Record 4
Entry from the Alexandria database: an optimized crystal structure of NiAg2Te (PBE). Values from VASP.

Geometry as Quantum ESPRESSO input:
```
&SYSTEM
  ibrav = 0, nat = 4, ntyp = 3
/
ATOMIC_SPECIES
Ni 58.69 Ni.upf
Ag 107.87 Ag.upf
Te 127.60 Te.upf
CELL_PARAMETERS angstrom
3.309 0.000 0.000
0.000 3.309 0.000
0.000 0.000 6.878
ATOMIC_POSITIONS crystal
Ni 0.000 0.000 0.000
Ag 0.000 0.000 0.521
Ag 0.500 0.500 0.759
Te 0.500 0.500 0.177
```


Record 5
Entry from the Alexandria database: an optimized crystal structure of NiAgTe2 (PBE). Values from VASP.

Geometry as Quantum ESPRESSO input:
```
&SYSTEM
  ibrav = 0, nat = 4, ntyp = 3
/
ATOMIC_SPECIES
Ni 58.69 Ni.upf
Ag 107.87 Ag.upf
Te 127.60 Te.upf
CELL_PARAMETERS angstrom
2.006 1.158 6.997
-2.006 1.158 6.997
0.000 -2.317 6.997
ATOMIC_POSITIONS crystal
Ni 0.000 0.000 0.000
Ag 0.145 0.145 0.145
Te 0.274 0.274 0.274
Te 0.730 0.730 0.730
```


Record 6
Entry from the Alexandria database: an optimized crystal structure of NiAgTe2 (PBE). Values from VASP.

Geometry as Quantum ESPRESSO input:
```
&SYSTEM
  ibrav = 0, nat = 4, ntyp = 3
/
ATOMIC_SPECIES
Ni 58.69 Ni.upf
Ag 107.87 Ag.upf
Te 127.60 Te.upf
CELL_PARAMETERS angstrom
5.295 0.000 0.000
0.000 3.877 0.000
-1.359 0.000 5.200
ATOMIC_POSITIONS crystal
Ni 0.000 0.000 0.000
Ag 0.000 0.000 0.500
Te 0.265 0.500 0.218
Te 0.735 0.500 0.782
```


Record 7
Entry from the Alexandria database: an optimized crystal structure of NiAg2Te (PBE). Values from VASP.

Geometry as Quantum ESPRESSO input:
```
&SYSTEM
  ibrav = 0, nat = 4, ntyp = 3
/
ATOMIC_SPECIES
Ni 58.69 Ni.upf
Ag 107.87 Ag.upf
Te 127.60 Te.upf
CELL_PARAMETERS angstrom
3.915 0.000 0.000
0.000 5.011 0.000
-0.037 0.000 3.936
ATOMIC_POSITIONS crystal
Ni 0.000 0.000 0.000
Ag 0.241 0.500 0.759
Ag 0.759 0.500 0.241
Te 0.500 0.000 0.500
```


Record 8
Entry from the Alexandria database: an optimized crystal structure of NiAgTe2 (PBE). Values from VASP.

Geometry as Quantum ESPRESSO input:
```
&SYSTEM
  ibrav = 0, nat = 8, ntyp = 3
/
ATOMIC_SPECIES
Ni 58.69 Ni.upf
Ag 107.87 Ag.upf
Te 127.60 Te.upf
CELL_PARAMETERS angstrom
-3.084 3.084 5.763
3.084 -3.084 5.763
3.084 3.084 -5.763
ATOMIC_POSITIONS crystal
Ni 0.000 0.000 0.000
Ni 0.750 0.250 0.500
Ag 0.250 0.750 0.500
Ag 0.500 0.500 0.000
Te 0.079 0.625 0.954
Te 0.375 0.329 0.454
Te 0.671 0.125 0.046
Te 0.875 0.921 0.546
```


| no. | ΔE_f (raw) (eV/atom) | D(E_F) (states/eV per cell) |
| --- | --- | --- |
| 1 | 0.226 | 3.1 |
| 2 | 0.285 | 2.7 |
| 3 | -0.003 | 2.3 |
| 4 | 0.134 | 1.7 |
| 5 | -0.042 | 3.5 |
| 6 | 0.003 | 1.9 |
| 7 | 0.217 | 1.4 |
| 8 | -0.024 | 9.1 |